Entry 1:
LiGa4Ni5 after structural relaxation. Source: Alexandria via LeMat-Bulk, functional PBE.

Output
Total magnetization, μB/f.u.: 0.0
DFT formation energy, kJ/mol of formula units: -230
Energy relative to the lowest polymorph listed for this composition, eV/atom: 0.073
Space-group type: Pmmn

Unit cell a=7.3819 b=8.5446 c=4.3170 alpha=90.00 beta=90.00 gamma=90.00
Element x y z (fractional)
Li1 0.2500 0.2500 0.0655
Li2 0.7500 0.7500 0.9345
Ga1 0.0217 0.7500 0.5156
Ga2 0.2500 0.5122 0.7482
Ga3 0.2500 0.9878 0.7482
Ga4 0.4783 0.7500 0.5156
Ga5 0.5217 0.2500 0.4844
Ga6 0.7500 0.0122 0.2518
Ga7 0.7500 0.4878 0.2518
Ga8 0.9783 0.2500 0.4844
Ni1 0.0810 0.9997 0.2491
Ni2 0.0810 0.5003 0.2491
Ni3 0.2500 0.7500 0.0862
Ni4 0.4190 0.9997 0.2491
Ni5 0.4190 0.5003 0.2491
Ni6 0.5810 0.0003 0.7509
Ni7 0.5810 0.4997 0.7509
Ni8 0.7500 0.2500 0.9138
Ni9 0.9190 0.0003 0.7509
Ni10 0.9190 0.4997 0.7509

Entry 2:
Li4GaNi4 after structural relaxation. Source: Alexandria via LeMat-Bulk, functional PBE.

Output
Total magnetization, μB/f.u.: 0.0
DFT formation energy, kJ/mol of formula units: -83
Space-group type: I4/mmm

Unit cell a=5.6167 b=5.6167 c=5.6167 alpha=96.70 beta=96.70 gamma=140.05
Element x y z (fractional)
Li1 0.1731 0.1731 0.3462
Li2 0.1731 0.8269 0.0000
Li3 0.8269 0.1731 0.0000
Li4 0.8269 0.8269 0.6538
Ga1 0.5000 0.5000 0.0000
Ni1 0.1588 0.5000 0.6588
Ni2 0.5000 0.1588 0.6588
Ni3 0.5000 0.8412 0.3412
Ni4 0.8412 0.5000 0.3412

Entry 3:
Li3Ga4Ni after structural relaxation. Source: Alexandria via LeMat-Bulk, functional PBE.

Output
Total magnetization, μB/f.u.: 0.0
DFT formation energy, kJ/mol of formula units: -233
Space-group type: C2/m

Unit cell a=7.3339 b=7.3339 c=4.1460 alpha=106.13 beta=106.13 gamma=32.84
Element x y z (fractional)
Li1 0.0000 0.0000 0.0000
Li2 0.2523 0.2523 0.2521
Li3 0.7477 0.7477 0.7479
Ga1 0.1135 0.1135 0.6130
Ga2 0.3865 0.3865 0.8867
Ga3 0.6135 0.6135 0.1133
Ga4 0.8865 0.8865 0.3870
Ni1 0.5000 0.5000 0.5000

Entry 4:
LiGa2Ni3 after structural relaxation. Source: Alexandria via LeMat-Bulk, functional PBE.

Output
Total magnetization, μB/f.u.: 0.0
DFT formation energy, kJ/mol of formula units: -149
Energy relative to the lowest polymorph listed for this composition, eV/atom: 0.000
Space-group type: P6/mmm

Unit cell a=5.0252 b=5.0252 c=3.8828 alpha=90.00 beta=90.00 gamma=120.00
Element x y z (fractional)
Li1 0.0000 0.0000 0.0000
Ga1 0.3333 0.6667 0.0000
Ga2 0.6667 0.3333 0.0000
Ni1 0.0000 0.5000 0.5000
Ni2 0.5000 0.0000 0.5000
Ni3 0.5000 0.5000 0.5000

Entry 5:
LiGa2Ni3 after structural relaxation. Source: Alexandria via LeMat-Bulk, functional PBE.

Output
Total magnetization, μB/f.u.: 0.0
DFT formation energy, kJ/mol of formula units: -145
Energy relative to the lowest polymorph listed for this composition, eV/atom: 0.007
Space-group type: P6/mmm

Unit cell a=5.0634 b=5.0634 c=3.8947 alpha=90.00 beta=90.00 gamma=120.00
Element x y z (fractional)
Li1 0.0000 0.0000 0.0000
Ga1 0.3333 0.6667 0.5000
Ga2 0.6667 0.3333 0.5000
Ni1 0.0000 0.5000 0.0000
Ni2 0.5000 0.0000 0.0000
Ni3 0.5000 0.5000 0.0000

Entry 6:
Li2Ga8Ni after structural relaxation. Source: Alexandria via LeMat-Bulk, functional PBE.

Output
Total magnetization, μB/f.u.: 0.0
DFT formation energy, kJ/mol of formula units: -246
Space-group type: P4/mmm

Unit cell a=4.1216 b=4.1216 c=10.6951 alpha=90.00 beta=90.00 gamma=90.00
Element x y z (fractional)
Li1 0.0000 0.0000 0.1908
Li2 0.0000 0.0000 0.8092
Ga1 0.0000 0.5000 0.0000
Ga2 0.0000 0.5000 0.3727
Ga3 0.0000 0.5000 0.6273
Ga4 0.5000 0.0000 0.0000
Ga5 0.5000 0.0000 0.3727
Ga6 0.5000 0.0000 0.6273
Ga7 0.5000 0.5000 0.1907
Ga8 0.5000 0.5000 0.8093
Ni1 0.0000 0.0000 0.5000